## KGaHg2Rh (PBE)

Data for a relaxed KGaHg2Rh crystal.

Cell: 5.374 5.374 4.784 Å, 90.00 90.00 90.00°
Fractional positions:
K 0.000 0.000 0.000
Ga 0.500 0.500 0.000
Hg 0.000 0.500 0.500
Hg 0.500 0.000 0.500
Rh 0.500 0.500 0.500

Output
formation enthalpy at 0 K = -0.26 eV/atom
total DFT energy (no corrections) = -13.382 eV per formula unit

## KGaHg2Ru (PBE)

Data for a relaxed KGaHg2Ru crystal.

Cell: 5.373 5.373 4.857 Å, 90.00 90.00 90.00°
Fractional positions:
K 0.000 0.000 0.000
Ga 0.500 0.500 0.500
Hg 0.000 0.500 0.500
Hg 0.500 0.000 0.500
Ru 0.500 0.500 0.000

Output
formation enthalpy at 0 K = 0.49 eV/atom
total DFT energy (no corrections) = -11.578 eV per formula unit

## KGaHg2S4 (PBE)

Data for a relaxed KGaHg2S4 crystal.

Cell: 6.698 6.687 6.630 Å, 60.40 60.22 59.39°
Fractional positions:
K 0.000 0.000 0.000
Ga 0.503 0.503 0.497
Hg 0.253 0.253 0.247
Hg 0.753 0.753 0.747
S 0.167 0.574 0.426
S 0.432 0.839 0.568
S 0.574 0.167 0.833
S 0.839 0.432 0.161

Output
total DFT energy (no corrections) = -25.519 eV per formula unit
E_form (uncorrected) = -0.54 eV per atom

| no. | size of the total moment (μB/atom) |
| --- | --- |
| 1 | 0.000 |
| 2 | 0.314 |
| 3 | 0.000 |